Entry 1:
## TbCeGeOs (PBE-GGA)

Data for a relaxed TbCeGeOs crystal.

a = 3.934 Å, b = 4.097 Å, c = 11.243 Å
α = 90.00°, β = 90.00°, γ = 90.00°
Space group Amm2 (No. 38)
Unique sites:
1 Tb 0.000 0.000 0.000 x2
2 Ce 0.500 0.000 0.724 x2
3 Ge 0.500 0.000 0.428 x2
4 Os 0.000 0.000 0.270 x2

Values from the calculation:
Calculated density ... 10.3 g/cm3
N(E_F) ... 0.87 states/eV per atom
ΔH_f (0 K) ... -0.55 eV/atom

Entry 2:
## Tl3SnBi3 (PBE-GGA)

Data for a relaxed Tl3SnBi3 crystal.

a = 8.973 Å, b = 15.013 Å, c = 8.739 Å
α = 90.00°, β = 120.63°, γ = 90.00°
Space group C2/m (No. 12)
Unique sites:
1 Tl 0.000 0.109 0.000 x4
2 Tl 0.000 0.310 0.500 x4
3 Tl 0.075 0.500 0.849 x4
4 Sn 0.141 0.000 0.705 x4
5 Bi 0.204 0.310 0.126 x8
6 Bi 0.244 0.500 0.586 x4

Values from the calculation:
Calculated density ... 8.9 g/cm3
N(E_F) ... 0.37 states/eV per atom
ΔH_f (0 K) ... 0.08 eV/atom

Entry 3:
## HoSc2Pd3 (PBE-GGA)

Data for a relaxed HoSc2Pd3 crystal.

a = 3.353 Å, b = 3.353 Å, c = 10.223 Å
α = 90.00°, β = 90.00°, γ = 90.00°
Space group P4/mmm (No. 123)
Unique sites:
1 Ho 0.000 0.000 0.000 x1
2 Sc 0.000 0.000 0.340 x2
3 Pd 0.500 0.500 0.184 x2
4 Pd 0.500 0.500 0.500 x1

Values from the calculation:
Calculated density ... 8.3 g/cm3
N(E_F) ... 0.68 states/eV per atom
ΔH_f (0 K) ... -0.89 eV/atom

> Which of these has the highest N(E_F)?

TbCeGeOs